# Cs2ZnAsS4

Cs2ZnAsS4 after structural relaxation (PBE, the Alexandria database).

The calculation puts the density of states at the Fermi level at 0.396 states/eV/atom. Its uncorrected formation energy is -715.9 meV per atom.

The space group is Fddd (No. 70, origin choice 2) and the conventional cell measures 6.051, 14.264 and 24.998 Å, with angles of 90.00, 90.00 and 90.00 degrees. The inequivalent atoms are Cs at (0.125, 0.125, 0.302), Zn at (0.125, 0.125, 0.125), As at (0.125, 0.125, 0.625) and S at (0.120, 0.283, 0.826).